A relaxed structure of LiAc2TiSe5, computed with PBE.

Calculated values
The calculation puts the total magnetization at 0.107 μB per atom. The formation energy without anion corrections is -1.625 eV per atom.

The structure in extended XYZ format:
```
18
Lattice="-0.2732 2.9689 3.0590 1.0869 -7.7206 4.6078 12.0732 1.4837 -0.3619" Properties=species:S:1:pos:R:3 pbc="T T T"
Li 11.5096 2.1409 1.9323
Li 6.3282 -4.8005 5.2242
Ac 10.3060 -1.9331 5.7789
Ac 8.6128 -0.4011 1.1584
Ac 3.9499 -1.1667 1.4850
Ac 2.9533 -3.0292 6.1861
Ti 6.6620 -1.5809 5.1116
Ti 0.5453 -2.3851 2.3635
Se 0.7236 -4.3358 4.2727
Se 10.7223 0.3566 3.5938
Se 10.2951 -5.0536 5.8241
Se 8.4324 -2.6471 3.3221
Se 7.3602 -3.2460 6.7900
Se 6.2502 0.3411 3.2095
Se 5.0359 -3.2718 3.6251
Se 3.1818 1.8581 1.4632
Se 2.1076 -0.9094 4.0532
Se 0.7196 -0.6128 0.6590
```